Below is a relaxed FePbN2O crystal, with properties calculated at the PBE with a Hubbard U level.

Unit cell a=3.9551 b=3.9551 c=3.9957 alpha=90.00 beta=90.00 gamma=90.00
Fractional coordinates of all 5 atoms:
Fe1 0.0000 0.0000 0.0000
Pb1 0.5000 0.5000 0.5000
N1 0.0000 0.5000 0.0000
N2 0.5000 0.0000 0.0000
O1 0.0000 0.0000 0.5000

Values from the calculation:
Space-group type ... No. 123
Magnetization ... 2.05 μB per formula unit
Calculated total energy ... -0.41260 Ry/atom